# 1
Here is an optimized crystal structure of ZnCuAg14 from the Alexandria database. Energies are from GGA-PBE.

Formation energy from the elements = 0.5 eV/f.u.
Crystal system = orthorhombic

Geometry as POSCAR:
```
ZnCuAg14
1.0
-5.5102 1.6335 1.0708
2.9563 -2.9890 4.0624
3.1169 8.0960 3.6886
Ag Zn Cu
14 1 1
Cartesian
0.6313 6.2175 3.6407
-2.1441 1.6563 4.4476
2.6340 2.7720 3.7360
-0.6499 5.5375 6.2159
-0.8629 2.3363 1.8724
-3.6728 3.1030 2.3729
0.5621 0.7789 3.8662
-0.2764 -0.5363 1.4106
1.3594 2.0956 6.2979
2.1133 4.8083 5.7020
-1.5539 -1.2143 3.9782
1.2195 -2.0408 3.4487
-2.1291 7.1126 4.1998
-3.0155 0.2715 1.9522
-0.0887 3.5724 4.2801
4.1438 1.2616 5.7756
```



# 2
Here is an optimized crystal structure of LiY2Pb from the Alexandria database. Energies are from GGA-PBE.

Formation energy from the elements = -0.7 eV/f.u.
Crystal system = orthorhombic

Geometry as POSCAR:
```
LiY2Pb
1.0
-2.6606 -0.1412 -2.3553
1.3355 -3.0201 -1.3197
-4.6864 -4.5035 5.5636
Pb Y Li
1 2 1
Cartesian
-3.9690 -4.7581 2.0879
-1.9625 -2.8298 -0.2942
-4.5903 -4.4112 5.4495
-2.5192 -2.4209 2.9908
```



# 3
Here is an optimized crystal structure of LiNdEuRh from the Alexandria database. Energies are from GGA-PBE.

Formation energy from the elements = -1.2 eV/f.u.
Crystal system = cubic

Geometry as POSCAR:
```
LiNdEuRh
1.0
5.1000 0.0000 0.0000
2.5500 4.4167 0.0000
2.5500 1.4722 4.1641
Nd Rh Li Eu
1 1 1 1
Cartesian
5.1000 2.9445 2.0821
2.5500 1.4722 1.0410
7.6500 4.4167 3.1231
0.0000 0.0000 0.0000
```



# 4
Here is an optimized crystal structure of SrNd10Se12Cl8O36 from the Alexandria database. Energies are from GGA-PBE.

ΔE_f (raw) = -1.965 eV/atom
Crystal system = monoclinic

Geometry as POSCAR:
```
SrNd10Se12Cl8O36
1.0
12.1448 0.0551 -0.0627
1.6531 12.0319 -0.0627
-0.0676 -0.0592 16.0614
O Nd Se Cl Sr
72 20 24 16 2
Cartesian
0.5435 1.3503 2.0584
3.9116 11.3022 15.3414
10.6408 1.0668 14.1868
11.2242 1.6360 9.7645
4.2325 6.3628 7.9240
8.1877 2.6432 1.9595
5.5948 4.8590 13.9789
1.9813 9.6870 11.3824
8.2905 6.3892 5.9108
5.6322 10.1237 6.0249
6.4842 8.3174 11.3890
4.5278 6.7340 15.3171
6.7400 3.3725 11.8306
9.8973 0.7187 3.3517
6.3512 4.7022 2.0077
10.8650 3.4512 1.9476
1.1678 1.1470 14.0527
4.2640 6.2671 3.7999
10.8515 4.1547 9.9475
2.7872 7.9018 6.0336
4.2634 11.7098 3.9021
13.2119 10.6859 13.8700
7.7717 4.4061 9.7174
5.5869 4.9362 5.9482
4.5762 6.6906 12.5541
6.4560 8.3722 8.6296
6.9827 8.6499 4.0426
5.5928 9.4208 14.0002
2.4919 10.4374 6.1561
10.7431 4.2211 14.0556
9.4599 5.7538 12.0733
7.3052 3.6317 7.2864
7.2685 3.6854 4.5234
7.3910 7.3479 13.9415
10.1087 4.3339 5.9695
12.0639 2.6564 15.9264
9.4764 0.3738 8.0296
3.8690 11.3446 12.5843
5.9766 7.6052 6.1578
9.1829 5.3275 0.5989
4.2549 11.6389 7.8957
2.9524 7.8008 1.8574
1.5260 9.3936 4.0170
1.3245 1.0363 6.0220
11.7525 2.4196 7.3107
8.1936 7.0802 9.9863
6.8307 3.3286 15.9547
9.8587 0.7580 0.5979
8.2918 4.8940 14.1885
1.6516 9.3744 -0.0011
9.1323 5.3627 3.3583
1.3763 0.3314 10.0891
12.5717 10.9006 1.8768
5.4634 5.6474 10.0384
12.1352 2.6555 11.9328
2.8854 8.5990 13.9833
9.4789 0.2467 12.0477
6.9232 8.6960 0.0164
3.1329 10.9409 1.7338
5.5806 10.2399 1.9168
11.7889 2.3718 4.5536
2.0152 9.6435 8.6286
12.3657 11.7201 5.8393
3.6640 7.7390 9.9903
8.9378 1.7582 5.9526
9.4977 5.6888 8.0471
8.0877 1.8704 9.8881
8.1661 1.6933 14.0643
5.4244 7.1538 1.6867
8.1308 7.2201 1.9556
12.4266 10.9980 9.9075
4.8174 10.2866 9.9783
9.4112 2.9731 15.7747
0.9385 3.6294 13.9824
6.8371 5.9933 7.9530
4.2432 9.0142 11.9843
4.2197 8.9677 7.7440
9.4913 3.0283 8.1799
9.5281 3.0495 3.9536
10.0070 11.5250 10.0068
4.2850 9.0398 0.1492
10.5916 6.5499 10.0827
6.9616 5.8292 11.9944
11.9556 0.1718 11.9854
3.7552 0.4823 5.9517
-0.0211 -0.0243 8.0293
7.9207 9.6670 2.0520
6.8072 5.9592 15.9837
-0.0607 -0.0474 16.0600
6.7286 6.1634 3.9637
12.7757 8.4327 1.9761
1.7777 11.8586 3.9547
9.1184 0.3025 13.7602
7.4544 8.6726 10.0175
1.2494 8.9589 14.3655
12.1505 3.0420 10.2414
4.6610 11.9503 9.5838
9.6121 6.2777 1.9868
9.8095 5.6572 13.7725
2.6639 0.2336 14.0220
9.0793 0.0890 6.3348
6.9329 9.0092 5.7418
0.6160 2.6396 5.9913
11.0770 11.8325 1.9158
13.1537 9.3936 9.9465
3.9167 6.3702 2.1246
9.9190 5.9973 6.3654
4.6486 11.6741 2.2107
6.2947 3.3424 5.9007
12.4936 3.0772 1.5531
1.5338 9.0289 5.7295
7.2168 9.0137 14.3961
6.5548 3.0271 1.5678
6.7965 3.0146 10.1553
3.8297 6.0697 9.5985
4.1080 5.7704 13.9313
3.5022 2.8246 4.2602
12.8464 6.1806 3.7310
7.7839 11.8916 11.7617
3.2348 3.0680 15.7164
7.9510 11.8634 0.2148
10.3828 9.0161 11.6510
12.7944 5.9764 12.0467
10.2150 9.1044 8.2924
7.6422 11.9261 4.0160
3.5008 2.8325 7.6857
3.2272 3.0703 12.2909
12.7729 6.2908 8.2455
10.4035 8.9574 0.2617
0.7779 5.9570 15.9429
10.3380 9.1354 3.6203
6.0413 0.0167 7.9122
5.7515 2.2901 13.8461
3.0610 5.4296 5.8154
```



For the records above, the corresponding magnetic moment values read 0.0, 0.0, 7.1, 0.4 μB per cell.